A relaxed structure of Nb4Te5S. Source: the Alexandria database, functional PBE.

Formation energy (no corrections) = -0.426 eV/atom
DOS at the Fermi energy = 0.722 states/eV/atom
Energy = -6.44 eV/atom
Space group = C2/m, No. 12

abc: 3.6335 7.9800 8.7296
angles: 101.46 102.01 90.00
Closest atoms and distances in Å follow each position.
Fractional coordinates of all 10 atoms:
Nb 0.3583 0.9180 0.7167  1 S 2.37
Te 0.5000 0.5000 0.0000  4 Nb 3.02
Te 0.8250 0.1697 0.6500  4 Nb 2.85-3.07
S 0.5000 0.0000 0.0000  6 Nb 2.37-2.41
Nb 0.0027 0.1986 0.0055  2 S 2.41
Nb 0.6417 0.0820 0.2833  1 S 2.37
Nb 0.9973 0.8014 0.9945  2 S 2.41
Te 0.8356 0.6452 0.6712  3 Nb 2.79-2.80
Te 0.1750 0.8303 0.3500  4 Nb 2.85-3.07
Te 0.1644 0.3548 0.3288  3 Nb 2.79-2.80



A relaxed structure of Nb4Te3S2. Source: the Alexandria database, functional PBE.

Formation energy (no corrections) = -0.494 eV/atom
DOS at the Fermi energy = 0.590 states/eV/atom
Energy = -6.93 eV/atom
Space group = C2/m, No. 12

abc: 3.5435 6.7768 8.3996
angles: 98.06 90.00 105.16
Closest atoms and distances in Å follow each position.
Fractional coordinates of all 9 atoms:
Nb 0.6949 0.3897 0.0948  3 S 2.40-2.46
Te 0.0000 0.0000 0.0000  6 Nb 3.11-3.19
Nb 0.0706 0.1412 0.6524  2 S 2.53
Nb 0.3051 0.6103 0.9052  3 S 2.40-2.46
Nb 0.9294 0.8588 0.3476  2 S 2.53
Te 0.6100 0.2201 0.4011  5 Nb 2.86-2.95
S 0.3184 0.6369 0.1933  5 Nb 2.40-2.53
Te 0.3900 0.7799 0.5989  5 Nb 2.86-2.95
S 0.6816 0.3631 0.8067  5 Nb 2.40-2.53



A relaxed structure of Nb2TeS. Source: the Alexandria database, functional PBE.

Formation energy (no corrections) = -0.187 eV/atom
DOS at the Fermi energy = 1.464 states/eV/atom
Energy = -7.04 eV/atom
Space group = Fm-3m, No. 225

abc: 4.6598 4.6598 4.6598
angles: 60.00 60.00 60.00
Closest atoms and distances in Å follow each position.
Fractional coordinates of all 4 atoms:
Nb 0.2500 0.2500 0.2500  4 S 2.85, 4 Te 2.85
S 0.0000 0.0000 0.0000  8 Nb 2.85
Nb 0.7500 0.7500 0.7500  4 S 2.85, 4 Te 2.85
Te 0.5000 0.5000 0.5000  8 Nb 2.85



A relaxed structure of Nb5TeS8. Source: the Alexandria database, functional PBE.

Formation energy (no corrections) = -0.546 eV/atom
DOS at the Fermi energy = 0.516 states/eV/atom
Energy = -6.73 eV/atom
Space group = F-43m, No. 216

abc: 7.5548 7.5548 7.5548
angles: 60.00 60.00 60.00
Closest atoms and distances in Å follow each position.
Fractional coordinates of all 14 atoms:
S 0.8665 0.8665 0.4006  1 Nb 2.47
Nb 0.1737 0.6088 0.6088  3 S 2.37
S 0.3869 0.8394 0.3869  3 Nb 2.37, 1 Te 2.53
S 0.3869 0.3869 0.3869  3 Nb 2.37, 1 Te 2.53
S 0.8665 0.8665 0.8665  1 Nb 2.47
Nb 0.6088 0.6088 0.6088  3 S 2.37
Nb 0.6088 0.1737 0.6088  3 S 2.37
Nb 0.6088 0.6088 0.1737  3 S 2.37
S 0.8394 0.3869 0.3869  3 Nb 2.37, 1 Te 2.53
S 0.8665 0.4006 0.8665  1 Nb 2.47
S 0.3869 0.3869 0.8394  3 Nb 2.37, 1 Te 2.53
Te 0.2500 0.2500 0.2500  4 S 2.53
Nb 0.0000 0.0000 0.0000  4 S 2.47
S 0.4006 0.8665 0.8665  1 Nb 2.47



A relaxed structure of Nb2TeS. Source: the Alexandria database, functional PBE.

Formation energy (no corrections) = -0.052 eV/atom
DOS at the Fermi energy = 1.170 states/eV/atom
Energy = -6.90 eV/atom
Space group = I-42d, No. 122

abc: 4.9231 4.9231 8.4417
angles: 73.05 73.05 90.00
Closest atoms and distances in Å follow each position.
Fractional coordinates of all 8 atoms:
Te 0.0000 0.0000 0.0000  4 Nb 2.80
Nb 0.8750 0.7959 0.7500  2 S 2.43
Nb 0.3750 0.4541 0.7500  2 S 2.43
Te 0.7500 0.2500 0.5000  4 Nb 2.80
S 0.5000 0.5000 0.0000  4 Nb 2.43
Nb 0.5459 0.1250 0.2500  2 S 2.43
S 0.2500 0.7500 0.5000  4 Nb 2.43
Nb 0.2041 0.6250 0.2500  2 S 2.43



A relaxed structure of Nb3Te4S2. Source: the Alexandria database, functional PBE.

Formation energy (no corrections) = -0.595 eV/atom
DOS at the Fermi energy = 1.301 states/eV/atom
Energy = -6.27 eV/atom
Space group = P-6m2, No. 187

abc: 3.5374 3.5374 26.3439
angles: 90.00 90.00 120.00
Closest atoms and distances in Å follow each position.
Fractional coordinates of all 9 atoms:
Te 0.6667 0.3333 0.6660  3 Nb 2.81
Te 0.6667 0.3333 0.3340  3 Nb 2.81
Te 0.6667 0.3333 0.8120  3 Nb 2.80
Nb 0.0000 0.0000 0.7392  6 Te 2.80-2.81
S 0.0000 0.0000 0.0573  3 Nb 2.54
S 0.0000 0.0000 0.9427  3 Nb 2.54
Nb 0.6667 0.3333 0.0000  6 S 2.54
Te 0.6667 0.3333 0.1880  3 Nb 2.80
Nb 0.0000 0.0000 0.2608  6 Te 2.80-2.81



A relaxed structure of Nb3Te4S2. Source: the Alexandria database, functional PBE.

Formation energy (no corrections) = -0.596 eV/atom
DOS at the Fermi energy = 1.218 states/eV/atom
Energy = -6.27 eV/atom
Space group = P3m1, No. 156

abc: 3.5432 3.5432 22.0447
angles: 90.00 90.00 120.00
Closest atoms and distances in Å follow each position.
Fractional coordinates of all 9 atoms:
Nb 0.0000 0.0000 0.3213  6 Te 2.80-2.81
Nb 0.0000 0.0000 0.9768  6 S 2.54
Nb 0.6667 0.3333 0.6611  6 Te 2.80-2.81
Te 0.0000 0.0000 0.7484  3 Nb 2.81
S 0.6667 0.3333 0.0451  3 Nb 2.54
S 0.6667 0.3333 0.9081  3 Nb 2.54
Te 0.0000 0.0000 0.5744  3 Nb 2.80
Te 0.6667 0.3333 0.2340  3 Nb 2.81
Te 0.6667 0.3333 0.4080  3 Nb 2.80



A relaxed structure of TiNb2Te4S2. Source: the Alexandria database, functional PBE.

Formation energy (no corrections) = -0.633 eV/atom
DOS at the Fermi energy = 1.103 states/eV/atom
Energy = -6.06 eV/atom
Space group = P3m1, No. 156

abc: 3.5525 3.5525 21.8827
angles: 90.00 90.00 120.00
Closest atoms and distances in Å follow each position.
Fractional coordinates of all 9 atoms:
S 0.6667 0.3333 0.2647  3 Ti 2.51
Ti 0.0000 0.0000 0.3309  6 S 2.51-2.52
S 0.6667 0.3333 0.3981  3 Ti 2.52
Te 0.6667 0.3333 0.0721  3 Nb 2.81
Te 0.6667 0.3333 0.8971  3 Nb 2.80
Nb 0.6667 0.3333 0.6435  6 Te 2.80-2.81
Te 0.0000 0.0000 0.5559  3 Nb 2.81
Nb 0.0000 0.0000 0.9842  6 Te 2.80-2.81
Te 0.0000 0.0000 0.7308  3 Nb 2.80